A plane-wave DFT calculation with PBE was carried out for an optimized crystal structure of Pr4Zn2I5.

abc: 24.9169 4.1401 8.8763
angles: 90.00 92.12 90.00
Closest atoms and distances in Å follow each position.
Space group C2/m (No. 12)
Unique sites:
Pr 0.0255 0.0000 0.2869 x4  4 Zn 2.98-3.32, 3 I 3.24-3.32
Pr 0.1657 0.5000 0.4425 x4  1 Zn 2.98, 5 I 3.21-3.32
Zn 0.0506 0.5000 0.5202 x4  1 Zn 2.53
I 0.0000 0.5000 0.0000 x2  4 Pr 3.32
I 0.1468 0.0000 0.1686 x4  3 Pr 3.21-3.24
I 0.2119 0.0000 0.6940 x4  3 Pr 3.23-3.32

A plane-wave DFT calculation with PBE was carried out for an optimized crystal structure of Ta2NiPt.

Formation energy from the elements ... -392 meV per atom

abc: 5.5597 8.0348 2.7911
angles: 90.00 90.30 90.00
Closest atoms and distances in Å follow each position.
Space group C2/m (No. 12)
Unique sites:
Ta 0.2500 0.2500 0.0000 x4  4 Ta 2.78-2.79, 4 Ni 2.81-2.82, 4 Pt 2.81-2.82
Ni 0.0000 0.0000 0.5000 x2  2 Pt 2.78, 2 Ni 2.79, 8 Ta 2.81-2.82
Pt 0.0000 0.5000 0.5000 x2  2 Ni 2.78, 2 Pt 2.79, 8 Ta 2.81-2.82

A plane-wave DFT calculation with PBE was carried out for an optimized crystal structure of TaCu2.

Formation energy from the elements ... 237 meV per atom

abc: 4.3404 4.3404 5.2255
angles: 90.00 90.00 120.00
Closest atoms and distances in Å follow each position.
Space group P6_3/mmc (No. 194)
Unique sites:
Ta 0.3333 0.6667 0.2500 x2  5 Cu 2.51-2.61
Cu 0.0000 0.0000 0.0000 x2  8 Cu 2.61-2.83, 6 Ta 2.83
Cu 0.3333 0.6667 0.7500 x2  5 Ta 2.51-2.61

A plane-wave DFT calculation with PBE was carried out for an optimized crystal structure of LiAl2Te.

abc: 8.8982 3.6853 6.0120
angles: 90.00 114.88 90.00
Closest atoms and distances in Å follow each position.
Space group Cm (No. 8)
Unique sites:
Li 0.0000 0.0000 0.0000 x2  3 Te 2.68-2.80, 1 Al 2.83
Al 0.1922 0.0000 0.7260 x2  3 Al 2.70-2.79, 1 Li 2.83
Al 0.4325 0.0000 0.5636 x2  3 Al 2.70-2.79, 2 Te 2.92
Te 0.2608 0.5000 0.1594 x2  3 Li 2.68-2.80, 2 Al 2.92

A plane-wave DFT calculation with PBE was carried out for an optimized crystal structure of Cs2Dy2PaSe6.

abc: 7.2812 12.6071 8.9458
angles: 90.00 105.99 90.00
Closest atoms and distances in Å follow each position.
Space group C2/m (No. 12)
Unique sites:
Cs 0.0000 0.1678 0.0000 x4  6 Se 3.65-3.66
Dy 0.0000 0.3333 0.5000 x4  6 Se 2.90
Pa 0.0000 0.0000 0.5000 x2  6 Se 2.87-2.88
Se 0.2272 0.1654 0.6826 x8  1 Pa 2.87, 2 Dy 2.90
Se 0.2307 0.5000 0.6822 x4  1 Pa 2.88, 2 Dy 2.90

A plane-wave DFT calculation with PBE was carried out for an optimized crystal structure of AgIrW2.

Formation energy from the elements ... 373 meV per atom

abc: 9.5528 2.8903 4.7460
angles: 90.00 102.06 90.00
Closest atoms and distances in Å follow each position.
Space group C2/m (No. 12)
Unique sites:
Ag 0.0000 0.0000 0.0000 x2  4 Ir 2.78, 6 W 2.87-2.91, 2 Ag 2.89
Ir 0.0000 0.5000 0.5000 x2  6 W 2.75-2.90, 4 Ag 2.78, 2 Ir 2.89
W 0.2420 0.0000 0.7308 x4  6 W 2.66-2.91, 3 Ir 2.75-2.90, 3 Ag 2.87-2.91

A plane-wave DFT calculation with PBE was carried out for an optimized crystal structure of LiPrO.

abc: 11.2574 3.1401 6.5432
angles: 90.00 112.26 90.00
Closest atoms and distances in Å follow each position.
Space group C2/m (No. 12)
Unique sites:
Li 0.1897 0.0000 0.3580 x4  3 O 1.97-2.08
Pr 0.0879 0.0000 0.7590 x4  2 O 2.49
O 0.1219 0.5000 0.4909 x4  3 Li 1.97-2.08

A plane-wave DFT calculation with PBE was carried out for an optimized crystal structure of Th4As2AuS.

abc: 7.3127 4.1726 7.4116
angles: 90.00 109.17 90.00
Closest atoms and distances in Å follow each position.
Space group P2/m (No. 10)
Unique sites:
Th 0.2419 0.0000 0.2474 x2  2 S 2.95, 3 As 2.97-3.02, 1 Au 3.03
Th 0.2466 0.5000 0.7492 x2  3 As 2.97-3.02, 1 S 2.98, 2 Au 3.00
As 0.0000 0.0000 0.5000 x1  6 Th 2.97
As 0.5000 0.5000 0.5000 x1  6 Th 3.02
Au 0.5000 0.0000 0.0000 x1  6 Th 3.00-3.03
S 0.0000 0.5000 0.0000 x1  6 Th 2.95-2.98

A plane-wave DFT calculation with PBE was carried out for an optimized crystal structure of CrSb2Pb.

abc: 4.4797 4.7608 4.8706
angles: 90.00 90.00 90.00
Closest atoms and distances in Å follow each position.
Space group Pmmm (No. 47)
Unique sites:
Cr 0.0000 0.0000 0.0000 x1  8 Sb 3.27-3.31, 4 Pb 3.41
Sb 0.5000 0.0000 0.5000 x1  4 Pb 3.27, 4 Cr 3.31, 4 Sb 3.41
Sb 0.5000 0.5000 0.0000 x1  4 Cr 3.27, 4 Pb 3.31, 4 Sb 3.41
Pb 0.0000 0.5000 0.5000 x1  8 Sb 3.27-3.31, 4 Cr 3.41

A plane-wave DFT calculation with PBE was carried out for an optimized crystal structure of Mg2SbNCl.

abc: 4.6775 4.6775 5.6758
angles: 90.00 90.00 90.00
Closest atoms and distances in Å follow each position.
Space group P4/mmm (No. 123)
Unique sites:
Mg 0.0000 0.5000 0.0000 x2  2 Cl 2.34
Sb 0.0000 0.0000 0.5000 x1  2 Cl 2.84
N 0.5000 0.5000 0.5000 x1  4 Sb 3.31, 8 Mg 3.68
Cl 0.0000 0.0000 0.0000 x1  4 Mg 2.34

| no. | VASP energy (eV for the cell shown) | Fermi-level density of states (states/eV/f.u.) | spin magnetization (μB per formula unit) |
| --- | --- | --- | --- |
| 1 | -77.7 | 6.2 | 0.0 |
| 2 | -74.2 | 3.0 | 0.0 |
| 3 | -38.7 | 2.3 | 0.0 |
| 4 | -26.5 | 1.0 | 0.0 |
| 5 | -119.3 | 1.7 | 1.1 |
| 6 | -72.3 | 2.5 | 0.0 |
| 7 | -64.1 | 1.9 | 0.0 |
| 8 | -56.5 | 6.4 | 0.0 |
| 9 | -20.1 | 2.5 | 4.3 |
| 10 | -11.2 | 2.7 | 0.0 |